(1)
The following is a PBE calculation of a relaxed Dy5Er2Th2 crystal, from the Alexandria database.

Values from the calculation:
Crystal system   orthorhombic
Energy   -4.972 eV/atom
Energy of formation from the pure elements   0.248 eV per atom
V   578 Å³/cell
Energy above the most stable polymorph in this dataset   0.000 eV per formula unit
Density of states at the Fermi level   13.3 states/eV/f.u.

Geometry as POSCAR:
```
Dy5Er2Th2
1.0
11.8497 0.0000 0.0000
0.0000 6.5973 0.0000
-5.9248 -3.2987 7.3891
Dy Er Th
10 4 4
Direct
0.9781 0.1558 0.5000 Dy
0.1902 0.1596 0.8926 Dy
0.8098 0.2671 0.1074 Dy
0.2024 0.6596 0.8926 Dy
0.4176 0.5470 0.2855 Dy
0.3679 0.0470 0.2855 Dy
0.6321 0.7615 0.7145 Dy
0.7976 0.7671 0.1074 Dy
0.5824 0.2615 0.7145 Dy
0.0219 0.6558 0.5000 Dy
0.1282 0.6744 0.2496 Er
0.8718 0.4248 0.7504 Er
0.3786 0.9248 0.7504 Er
0.6214 0.1744 0.2496 Er
0.0000 0.0180 0.0000 Th
0.7520 0.8277 0.5000 Th
0.2480 0.3277 0.5000 Th
0.5000 0.5180 0.0000 Th
```

***

(2)
The following is a PBE calculation of a relaxed Re2SnTe2 crystal, from the Alexandria database.

Values from the calculation:
Crystal system   tetragonal
Energy   -6.269 eV/atom
V   202 Å³/cell
Energy above the most stable polymorph in this dataset   0.542 eV per formula unit
ΔE_f (raw)   3.8 eV per formula unit
Density of states at the Fermi level   5.8 states/eV/f.u.

Geometry as POSCAR:
```
Re2SnTe2
1.0
7.9090 0.0000 0.0000
0.0000 7.9090 0.0000
0.0000 0.0000 3.2363
Te Sn Re
4 2 4
Direct
0.1498 0.6498 0.5000 Te
0.6498 0.8502 0.5000 Te
0.3502 0.1498 0.5000 Te
0.8502 0.3502 0.5000 Te
0.5000 0.5000 0.0000 Sn
0.0000 0.0000 0.0000 Sn
0.3618 0.8618 0.0000 Re
0.1382 0.3618 0.0000 Re
0.6382 0.1382 0.0000 Re
0.8618 0.6382 0.0000 Re
```

***

(3)
The following is a PBE calculation of a relaxed PmPrErIn crystal, from the Alexandria database.

Values from the calculation:
Crystal system   cubic
Energy   -4.304 eV/atom
Energy of formation from the pure elements   -0.096 eV per atom
V   120 Å³/cell
Energy above the most stable polymorph in this dataset   0.236 eV per formula unit
Density of states at the Fermi level   5.9 states/eV/f.u.

Geometry as POSCAR:
```
PmPrErIn
1.0
-1.5991 4.9180 -1.9781
-3.4316 -2.5353 -3.5290
-0.3452 -1.0450 5.4300
Pr Er In Pm
1 1 1 1
Direct
0.2500 0.7500 0.5000 Pr
0.0000 0.0000 0.0000 Er
0.7500 0.2500 0.5000 In
0.5000 0.5000 0.0000 Pm
```